First-principles (PBE-GGA) data for a relaxed MnSi2Sb crystal, as listed in Alexandria via LeMat-Bulk.

## Properties
formation energy from raw total energies = 491 meV/atom
M_tot = 3.55 μB/cell
D(E_F) = 2.424 states/eV per cell
crystal system = tetragonal
SG = P4/mmm, No. 123

Cell and atoms, written as extended XYZ:
```
4
Lattice="-2.208 -3.417 -2.924 2.957 0.124 -2.378 1.694 -2.774 1.962" Properties=species:S:1:pos:R:3 pbc="T T T"
Mn 0.375 -1.646 -2.651
Sb -0.257 -3.095 -0.481
Si 2.326 -1.325 -0.208
Si 0.000 0.000 0.000
```

First-principles (PBE-GGA) data for a relaxed TaBiOs2 crystal, as listed in Alexandria via LeMat-Bulk.

## Properties
M_tot = 0.00 μB/cell
D(E_F) = 6.970 states/eV per cell
crystal system = tetragonal
SG = I-42d, No. 122
E_form = 1.27 eV per atom

Cell and atoms, written as extended XYZ:
```
8
Lattice="5.916 0.000 0.000 0.000 5.916 0.000 2.958 2.958 6.028" Properties=species:S:1:pos:R:3 pbc="T T T"
Os 1.627 4.437 1.507
Os 4.437 4.584 4.521
Os 7.395 7.247 4.521
Os 4.289 1.479 1.507
Bi 0.000 0.000 0.000
Bi 5.916 2.958 3.014
Ta 2.958 2.958 0.000
Ta 2.958 5.916 3.014
```

First-principles (PBE-GGA) data for a relaxed BaVP3 crystal, as listed in Alexandria via LeMat-Bulk.

## Properties
M_tot = 0.00 μB/cell
D(E_F) = 3.643 states/eV per cell
crystal system = cubic
SG = Pm-3m, No. 221
E_form = -0.47 eV per atom
offset from the most stable computed form = 0 meV/atom

Cell and atoms, written as extended XYZ:
```
5
Lattice="4.725 0.000 0.000 0.000 4.725 0.000 0.000 0.000 4.725" Properties=species:S:1:pos:R:3 pbc="T T T"
P 0.000 2.362 0.000
P 2.362 0.000 0.000
P 0.000 0.000 2.362
Ba 2.362 2.362 2.362
V 0.000 0.000 0.000
```

First-principles (PBE-GGA) data for a relaxed BaEu2O4 crystal, as listed in Alexandria via LeMat-Bulk.

## Properties
formation energy from raw total energies = -2684 meV/atom
M_tot = 48.00 μB/cell
D(E_F) = 34.668 states/eV per cell
crystal system = orthorhombic
SG = Pnma, No. 62

Cell and atoms, written as extended XYZ:
```
28
Lattice="3.580 0.000 0.000 0.000 10.628 0.000 0.000 0.000 12.448" Properties=species:S:1:pos:R:3 pbc="T T T"
Eu 2.685 9.791 7.580
Eu 2.685 4.477 11.093
Eu 0.895 0.837 4.869
Eu 2.685 4.531 4.831
Eu 0.895 6.098 7.617
Eu 2.685 9.845 1.393
Eu 0.895 0.784 11.055
Eu 0.895 6.151 1.355
O 2.685 4.532 7.163
O 0.895 9.377 5.982
O 0.895 6.097 5.285
O 0.895 0.783 0.939
O 2.685 9.846 11.510
O 2.685 0.170 3.535
O 0.895 5.145 9.760
O 2.685 2.252 10.358
O 0.895 8.377 2.090
O 0.895 3.062 4.134
O 0.895 10.459 8.913
O 2.685 6.566 12.206
O 2.685 1.252 6.466
O 2.685 5.484 2.689
O 2.685 7.566 8.315
O 0.895 4.062 0.242
Ba 2.685 8.006 4.352
Ba 0.895 2.622 8.096
Ba 2.685 2.692 1.872
Ba 0.895 7.936 10.576
```

First-principles (PBE-GGA) data for a relaxed Co3SiH crystal, as listed in Alexandria via LeMat-Bulk.

## Properties
M_tot = 4.94 μB/cell
D(E_F) = 7.652 states/eV per cell
crystal system = monoclinic
SG = C2/m, No. 12
offset from the most stable computed form = 148 meV/atom

Cell and atoms, written as extended XYZ:
```
10
Lattice="-6.974 -10.194 -3.516 -2.795 -3.383 -4.126 5.185 2.625 1.582" Properties=species:S:1:pos:R:3 pbc="T T T"
H 2.208 -1.303 -0.046
H -6.791 -9.650 -6.014
Co 0.001 -3.167 -1.564
Co -1.742 -4.365 -2.845
Co -2.841 -6.587 -3.215
Co -4.584 -7.785 -4.496
Co 2.849 0.282 0.085
Co -7.433 -11.235 -6.145
Si -1.125 -6.403 -1.658
Si -3.458 -4.549 -4.402
```

First-principles (PBE-GGA) data for a relaxed KTl2CdAu crystal, as listed in Alexandria via LeMat-Bulk.

## Properties
M_tot = 0.00 μB/cell
D(E_F) = 2.732 states/eV per cell
crystal system = tetragonal
SG = P4/mmm, No. 123
E_form = -0.01 eV per atom

Cell and atoms, written as extended XYZ:
```
5
Lattice="-5.179 -0.712 -2.145 -0.256 -5.143 2.327 -2.161 2.146 4.506" Properties=species:S:1:pos:R:3 pbc="T T T"
Au 0.000 0.000 0.000
K -3.798 -1.854 2.344
Tl -0.128 -2.571 1.163
Tl -2.589 -0.356 -1.072
Cd -1.081 1.073 2.253
```

First-principles (PBE-GGA) data for a relaxed LuHf2Mn crystal, as listed in Alexandria via LeMat-Bulk.

## Properties
M_tot = 0.00 μB/cell
D(E_F) = 4.370 states/eV per cell
crystal system = trigonal
SG = R-3m, No. 166
E_form = 0.34 eV per atom
offset from the most stable computed form = 294 meV/atom

Cell and atoms, written as extended XYZ:
```
4
Lattice="-0.287 -1.870 2.552 2.457 -1.772 0.955 3.848 6.258 6.995" Properties=species:S:1:pos:R:3 pbc="T T T"
Lu 0.000 0.000 0.000
Hf 3.155 -1.290 5.341
Hf 2.865 3.905 5.161
Mn 3.010 1.308 5.251
```

First-principles (PBE-GGA) data for a relaxed Na3SiTe4 crystal, as listed in Alexandria via LeMat-Bulk.

## Properties
formation energy from raw total energies = -510 meV/atom
M_tot = 0.00 μB/cell
D(E_F) = 10.321 states/eV per cell
crystal system = orthorhombic
SG = Pmn2_1, No. 31
offset from the most stable computed form = 0 meV/atom

Cell and atoms, written as extended XYZ:
```
16
Lattice="6.428 0.000 0.000 0.000 6.574 0.000 0.000 0.000 12.473" Properties=species:S:1:pos:R:3 pbc="T T T"
Na 3.410 4.756 0.000
Na 3.874 1.433 9.319
Na 0.661 5.141 9.390
Na 0.196 1.818 6.236
Na 0.661 5.141 3.083
Na 3.874 1.433 3.153
Te 0.519 5.089 6.236
Te 3.733 1.485 0.000
Te 3.872 4.726 8.471
Te 0.178 5.071 0.000
Te 3.872 4.726 4.002
Te 0.658 1.848 2.234
Te 0.658 1.848 10.238
Te 3.392 1.503 6.236
Si 2.996 5.586 6.236
Si 6.210 0.988 0.000
```